Entry 1
VASP calculation (PBE) on a geometry-optimized ErTmHgPt structure.

The structure in POSCAR format:
```
ErTmHgPt
1.0
0.0000 3.5623 3.5623
3.5623 0.0000 3.5623
3.5623 3.5623 0.0000
Er Tm Hg Pt
1 1 1 1
Direct
0.0000 0.0000 0.0000 Er
0.5000 0.5000 0.5000 Tm
0.2500 0.2500 0.2500 Hg
0.7500 0.7500 0.7500 Pt
```

Values from the calculation:
V	22.60	A^3/atom
total magnetization	0.000	μB per formula unit
density of states at the Fermi level	1.71	states/eV per cell



Entry 2
VASP calculation (PBE) on a geometry-optimized ErTmHgPt structure.

The structure in POSCAR format:
```
ErTmHgPt
1.0
3.5342 0.0000 0.0000
0.0000 3.5342 0.0000
0.0000 0.0000 7.3016
Er Tm Hg Pt
1 1 1 1
Direct
0.0000 0.0000 0.0000 Er
0.0000 0.0000 0.5498 Tm
0.5000 0.5000 0.2767 Hg
0.5000 0.5000 0.7725 Pt
```

Values from the calculation:
V	22.80	A^3/atom
total magnetization	0.000	μB per formula unit
density of states at the Fermi level	2.66	states/eV per cell



It comes down to entry 2, which is 42 meV/atom more stable than the next structure.



Entry 1
VASP calculation (PBE) on a geometry-optimized ErPuHg4 structure.

The structure in POSCAR format:
```
ErPuHg4
1.0
2.7682 -4.9611 0.0000
2.7682 4.9611 0.0000
-0.0086 0.0000 5.5166
Er Pu Hg
1 1 4
Direct
0.0000 0.0000 0.0000 Er
0.5000 0.5000 0.5000 Pu
0.1669 0.8331 0.5000 Hg
0.3296 0.6704 0.0000 Hg
0.6704 0.3296 0.0000 Hg
0.8331 0.1669 0.5000 Hg
```

Values from the calculation:
V	25.25	A^3/atom
total magnetization	5.946	μB per formula unit
density of states at the Fermi level	15.62	states/eV per cell



Entry 2
VASP calculation (PBE) on a geometry-optimized ErPuHg4 structure.

The structure in POSCAR format:
```
ErPuHg4
1.0
3.2620 0.0000 0.0000
0.0000 5.0409 0.0000
0.0000 0.0000 8.7817
Er Pu Hg
1 1 4
Direct
0.0000 0.0000 0.0000 Er
0.0000 0.5000 0.5000 Pu
0.5000 0.0000 0.3299 Hg
0.5000 0.0000 0.6701 Hg
0.5000 0.5000 0.1634 Hg
0.5000 0.5000 0.8366 Hg
```

Values from the calculation:
V	24.07	A^3/atom
total magnetization	5.769	μB per formula unit
density of states at the Fermi level	11.49	states/eV per cell



Entry 3
VASP calculation (PBE) on a geometry-optimized ErPuHg4 structure.

The structure in POSCAR format:
```
ErPuHg4
1.0
0.0000 4.2167 4.2167
4.2167 0.0000 4.2167
4.2167 4.2167 0.0000
Er Pu Hg
1 1 4
Direct
0.0000 0.0000 0.0000 Er
0.2500 0.2500 0.2500 Pu
0.1247 0.6251 0.6251 Hg
0.6251 0.1247 0.6251 Hg
0.6251 0.6251 0.1247 Hg
0.6251 0.6251 0.6251 Hg
```

Values from the calculation:
V	24.99	A^3/atom
total magnetization	5.930	μB per formula unit
density of states at the Fermi level	14.18	states/eV per cell



It comes down to entry 2, which is 53 meV/atom more stable than the next structure.



Entry 1
VASP calculation (PBE) on a geometry-optimized ErPuHg structure.

The structure in POSCAR format:
```
ErPuHg
1.0
-1.7544 1.7544 6.6054
1.7544 -1.7544 6.6054
1.7544 1.7544 -6.6054
Er Pu Hg
1 1 1
Direct
0.0000 0.0000 0.0000 Er
0.6879 0.6879 0.0000 Pu
0.3535 0.3535 0.0000 Hg
```

Values from the calculation:
V	27.11	A^3/atom
total magnetization	6.526	μB per formula unit
density of states at the Fermi level	7.34	states/eV per cell



Entry 2
VASP calculation (PBE) on a geometry-optimized ErPuHg structure.

The structure in POSCAR format:
```
ErPuHg
1.0
5.2288 0.0000 0.0000
-2.6144 4.5283 0.0000
0.0000 0.0000 3.3552
Er Pu Hg
1 1 1
Direct
0.0000 0.0000 0.0000 Er
0.3333 0.6667 0.5753 Pu
0.6667 0.3333 0.2580 Hg
```

Values from the calculation:
V	26.48	A^3/atom
total magnetization	6.085	μB per formula unit
density of states at the Fermi level	7.95	states/eV per cell



It comes down to entry 1, which is 96 meV/atom more stable than the next structure.